5
Lattice="5.522 0.000 0.000 0.000 5.522 0.000 0.000 0.000 5.522" Properties=species:S:1:pos:R:3 comment="NaGeTe3, relaxed, DFT PBE" relative_energy_ev_per_atom=0.3074 vol_a3_per_atom=33.668 e_form_raw_ev_per_atom=0.04 final_energy_ev_per_atom=-3.035 pbc="T T T"
Na 0.000 0.000 0.000
Ge 2.761 2.761 2.761
Te 0.000 2.761 2.761
Te 2.761 0.000 2.761
Te 2.761 2.761 0.000